(1)
VASP calculation (PBE) on a relaxed structure of CsGeTeI2.

Cell: 6.074 6.074 5.607 Å, 90.00 90.00 90.00°
Element x y z (fractional)
Cs (0.000, 0.000, 0.000)
Ge (0.500, 0.500, 0.500)
Te (0.500, 0.500, 0.000)
I (0.000, 0.500, 0.500)
I (0.500, 0.000, 0.500)

## Properties
Its space-group type is P4/mmm, No. 123. The value obtained for the density of states at the Fermi level is 5.30 states/eV per cell. As for the electronic total energy: -2.89 eV/atom. The value obtained for the size of the total moment is 0.1110 μB/atom.

---

(2)
VASP calculation (PBE) on a relaxed structure of Cs2GeTeI6.

Cell: 8.660 8.660 8.660 Å, 120.87 120.87 88.49°
Element x y z (fractional)
Cs (0.250, 0.750, 0.500)
Cs (0.750, 0.250, 0.500)
Ge (0.000, 0.000, 0.000)
Te (0.500, 0.500, 0.000)
I (0.238, 0.238, 0.000)
I (0.244, 0.244, 0.487)
I (0.244, 0.756, 0.000)
I (0.756, 0.244, 0.000)
I (0.756, 0.756, 0.513)
I (0.762, 0.762, 0.000)

## Properties
Its space-group type is I4/mmm, No. 139. The value obtained for the density of states at the Fermi level is 4.36 states/eV per cell. As for the electronic total energy: -2.57 eV/atom. The value obtained for the size of the total moment is 0.0000 μB/atom.

---

(3)
VASP calculation (PBE) on a relaxed structure of Cs2TiGeI6.

Cell: 8.392 8.392 8.392 Å, 60.00 60.00 60.00°
Element x y z (fractional)
Cs (0.250, 0.250, 0.250)
Cs (0.750, 0.750, 0.750)
Ti (0.000, 0.000, 0.000)
Ge (0.500, 0.500, 0.500)
I (0.245, 0.245, 0.755)
I (0.245, 0.755, 0.245)
I (0.245, 0.755, 0.755)
I (0.755, 0.245, 0.245)
I (0.755, 0.245, 0.755)
I (0.755, 0.755, 0.245)

## Properties
Its space-group type is Fm-3m, No. 225. The value obtained for the density of states at the Fermi level is 10.47 states/eV per cell. As for the electronic total energy: -3.21 eV/atom. The value obtained for the size of the total moment is 0.2000 μB/atom.

---

(4)
VASP calculation (PBE) on a relaxed structure of CsTlGeI4.

Cell: 10.145 10.145 10.145 Å, 146.03 146.03 48.80°
Element x y z (fractional)
Cs (0.000, 0.000, 0.000)
Tl (0.719, 0.719, 0.000)
Ge (0.356, 0.356, 0.000)
I (0.202, 0.202, 0.000)
I (0.355, 0.855, 0.500)
I (0.535, 0.535, 0.000)
I (0.855, 0.355, 0.500)

## Properties
Its space-group type is I4mm, No. 107. As for the electronic total energy: -2.75 eV/atom. The value obtained for the size of the total moment is 0.0000 μB/atom.

---

(5)
VASP calculation (PBE) on a relaxed structure of Cs3Tl3GeI8.

Cell: 10.210 10.210 10.210 Å, 62.88 62.88 62.88°
Element x y z (fractional)
Cs (0.000, 0.500, 0.500)
Cs (0.500, 0.000, 0.500)
Cs (0.500, 0.500, 0.000)
Tl (0.000, 0.000, 0.500)
Tl (0.000, 0.500, 0.000)
Tl (0.500, 0.000, 0.000)
Ge (0.000, 0.000, 0.000)
I (0.195, 0.791, 0.791)
I (0.209, 0.209, 0.805)
I (0.209, 0.805, 0.209)
I (0.241, 0.241, 0.241)
I (0.759, 0.759, 0.759)
I (0.791, 0.195, 0.791)
I (0.791, 0.791, 0.195)
I (0.805, 0.209, 0.209)

## Properties
Its space-group type is R-3m, No. 166. The value obtained for the density of states at the Fermi level is 0.00 states/eV per cell. As for the electronic total energy: -2.71 eV/atom. The value obtained for the size of the total moment is 0.0000 μB/atom.

---

(6)
VASP calculation (PBE) on a relaxed structure of Cs2TlGeI6.

Cell: 6.123 6.123 12.386 Å, 90.00 90.00 90.00°
Element x y z (fractional)
Cs (0.000, 0.000, 0.237)
Cs (0.000, 0.000, 0.763)
Tl (0.500, 0.500, 0.500)
Ge (0.500, 0.500, 0.000)
I (0.000, 0.500, 0.000)
I (0.000, 0.500, 0.500)
I (0.500, 0.000, 0.000)
I (0.500, 0.000, 0.500)
I (0.500, 0.500, 0.238)
I (0.500, 0.500, 0.762)

## Properties
Its space-group type is P4/mmm, No. 123. The value obtained for the density of states at the Fermi level is 1.04 states/eV per cell. As for the electronic total energy: -2.63 eV/atom. The value obtained for the size of the total moment is 0.0000 μB/atom.

---

(7)
VASP calculation (PBE) on a relaxed structure of Cs2TlGeI6.

Cell: 8.697 8.697 8.697 Å, 119.91 119.91 90.16°
Element x y z (fractional)
Cs (0.250, 0.750, 0.500)
Cs (0.750, 0.250, 0.500)
Tl (0.000, 0.000, 0.000)
Ge (0.500, 0.500, 0.000)
I (0.262, 0.262, 0.000)
I (0.262, 0.262, 0.525)
I (0.262, 0.738, 0.000)
I (0.738, 0.262, 0.000)
I (0.738, 0.738, 0.000)
I (0.738, 0.738, 0.475)

## Properties
Its space-group type is I4/mmm, No. 139. The value obtained for the density of states at the Fermi level is 4.53 states/eV per cell. As for the electronic total energy: -2.64 eV/atom. The value obtained for the size of the total moment is 0.0000 μB/atom.

---

(8)
VASP calculation (PBE) on a relaxed structure of CsTlGe2I6.

Cell: 10.442 10.442 11.419 Å, 109.74 109.74 95.46°
Element x y z (fractional)
Cs (0.106, 0.894, 0.750)
Cs (0.894, 0.106, 0.250)
Tl (0.271, 0.729, 0.250)
Tl (0.729, 0.271, 0.750)
Ge (0.252, 0.428, 0.816)
Ge (0.428, 0.252, 0.316)
Ge (0.572, 0.748, 0.684)
Ge (0.748, 0.572, 0.184)
I (0.021, 0.205, 0.655)
I (0.090, 0.608, 0.893)
I (0.205, 0.021, 0.155)
I (0.348, 0.369, 0.042)
I (0.369, 0.348, 0.542)
I (0.392, 0.910, 0.607)
I (0.608, 0.090, 0.393)
I (0.631, 0.652, 0.458)
I (0.652, 0.631, 0.958)
I (0.795, 0.979, 0.845)
I (0.910, 0.392, 0.107)
I (0.979, 0.795, 0.345)

## Properties
Its space-group type is C2/c, No. 15. The value obtained for the density of states at the Fermi level is 0.00 states/eV per cell. As for the electronic total energy: -2.77 eV/atom. The value obtained for the size of the total moment is 0.0000 μB/atom.

---

(9)
VASP calculation (PBE) on a relaxed structure of CsTl2GeI5.

Cell: 10.979 10.979 10.979 Å, 127.73 127.73 77.07°
Element x y z (fractional)
Cs (0.250, 0.250, 0.000)
Cs (0.750, 0.750, 0.000)
Tl (0.162, 0.662, 0.824)
Tl (0.338, 0.162, 0.500)
Tl (0.662, 0.838, 0.500)
Tl (0.838, 0.338, 0.176)
Ge (0.250, 0.750, 0.500)
Ge (0.750, 0.250, 0.500)
I (0.000, 0.000, 0.000)
I (0.017, 0.200, 0.500)
I (0.200, 0.700, 0.183)
I (0.300, 0.483, 0.500)
I (0.483, 0.983, 0.183)
I (0.500, 0.500, 0.000)
I (0.517, 0.017, 0.817)
I (0.700, 0.517, 0.500)
I (0.800, 0.300, 0.817)
I (0.983, 0.800, 0.500)

## Properties
Its space-group type is I4/mcm, No. 140. The value obtained for the density of states at the Fermi level is 0.00 states/eV per cell. As for the electronic total energy: -2.70 eV/atom. The value obtained for the size of the total moment is 0.0000 μB/atom.

---

(10)
VASP calculation (PBE) on a relaxed structure of CsTmGeI6.

Cell: 7.827 7.827 8.702 Å, 90.00 90.00 120.00°
Element x y z (fractional)
Cs (0.000, 0.000, 0.000)
Tm (0.667, 0.333, 0.500)
Ge (0.333, 0.667, 0.500)
I (0.373, 0.002, 0.700)
I (0.373, 0.371, 0.300)
I (0.629, 0.002, 0.300)
I (0.629, 0.627, 0.700)
I (0.998, 0.371, 0.700)
I (0.998, 0.627, 0.300)

## Properties
Its space-group type is P312, No. 149. The value obtained for the density of states at the Fermi level is 0.00 states/eV per cell. As for the electronic total energy: -3.21 eV/atom. The value obtained for the size of the total moment is 0.0000 μB/atom.